The following is a DFT calculation (GGA-PBE) of crystalline C3S8 at its relaxed geometry.

Structure (POSCAR):
```
C3S8
1.0
5.118 0.000 0.000
-0.126 9.322 0.000
-2.010 -2.078 12.316
C S
6 16
Direct
0.135 0.473 0.318
0.143 0.290 0.679
0.180 0.355 0.786
0.820 0.645 0.214
0.857 0.710 0.321
0.865 0.527 0.682
0.015 0.515 0.814
0.066 0.622 0.410
0.114 0.962 0.671
0.203 0.116 0.924
0.295 0.134 0.622
0.323 0.340 0.350
0.333 0.946 0.821
0.389 0.300 0.896
0.611 0.700 0.104
0.667 0.054 0.179
0.677 0.660 0.650
0.705 0.866 0.378
0.797 0.884 0.076
0.886 0.038 0.329
0.934 0.378 0.590
0.985 0.485 0.186
```

Results
**Symmetry**: P-1
**Energy relative to the elements, uncorrected**: 0.228 eV/atom